First-principles (PBE+U) data for a relaxed ErCr2IO8 crystal, as listed in the Alexandria database.

a b c (Å): 4.7005 6.4654 4.7036
angles (deg): 90.00 90.09 90.00
Atoms (fractional coordinates):
Er (0.0000, 0.0000, 0.0000)
Cr (0.5000, 0.2458, 0.5000)
Cr (0.5000, 0.7542, 0.5000)
I (0.0000, 0.5000, 0.0000)
O (0.1941, 0.2822, 0.1918)
O (0.1941, 0.7178, 0.1918)
O (0.2897, 0.5000, 0.7079)
O (0.3214, 0.0000, 0.6761)
O (0.6786, 0.0000, 0.3239)
O (0.7103, 0.5000, 0.2921)
O (0.8059, 0.2822, 0.8082)
O (0.8059, 0.7178, 0.8082)

## Properties
E_tot (eV/cell): -79.8
SG: P2/m
V (Å³/atom): 11.91
Density (Mg/m³): 6.1